Ba2Sm2Fe4O11 | PBE+U | relaxed

Cell lengths 8.838, 8.838, 3.939 Å; angles 90.00, 90.00, 125.76 degrees
Positions (direct):
1 Sm 0.770 0.770 0.500
2 Sm 0.230 0.230 0.500
3 Fe 0.376 0.624 0.000
4 Fe 0.877 0.123 0.000
5 Fe 0.624 0.376 0.000
6 Fe 0.123 0.877 0.000
7 Ba 0.000 0.500 0.500
8 Ba 0.500 0.000 0.500
9 O 0.747 0.253 0.000
10 O 0.638 0.844 0.000
11 O 0.410 0.590 0.500
12 O 0.253 0.747 0.000
13 O 0.883 0.117 0.500
14 O 0.362 0.156 0.000
15 O 0.844 0.638 0.000
16 O 0.000 0.000 0.000
17 O 0.590 0.410 0.500
18 O 0.156 0.362 0.000
19 O 0.117 0.883 0.500

Properties
size of the total moment = 1.053 μB per atom
total energy = -7.007 eV per atom